1.
# La2RhN, relaxed, DFT GGA-PBEsol
data_La2RhN
_symmetry_space_group_name_H-M 'F m -3 m'
_symmetry_Int_Tables_number 225
_symmetry_space_group_name_Hall '-F 4 2 3'
_cell_length_a 6.742
_cell_length_b 6.742
_cell_length_c 6.742
_cell_angle_alpha 90.00
_cell_angle_beta 90.00
_cell_angle_gamma 90.00
loop_
_atom_site_label
_atom_site_fract_x
_atom_site_fract_y
_atom_site_fract_z
La1 0.250 0.250 0.250
Rh1 0.000 0.000 0.000
N1 0.000 0.000 0.500
# - E_form (uncorrected): -394 meV per atom
# - Crystal system: cubic

2.
# Ta5Pb, relaxed, DFT GGA-PBEsol
data_Ta5Pb
_symmetry_space_group_name_H-M 'P -6 2 m'
_symmetry_Int_Tables_number 189
_symmetry_space_group_name_Hall 'P -6 -2'
_cell_length_a 5.0966
_cell_length_b 5.0966
_cell_length_c 4.9648
_cell_angle_alpha 90.00
_cell_angle_beta 90.00
_cell_angle_gamma 120.00
loop_
_atom_site_label
_atom_site_fract_x
_atom_site_fract_y
_atom_site_fract_z
Ta1 0.0000 0.6585 0.0000
Ta2 0.3333 0.6667 0.5000
Pb1 0.0000 0.0000 0.5000
# - Calculated formation energy: 0.350 eV per atom
# - Crystal system: hexagonal

3.
# Al2BiB, relaxed, DFT GGA-PBEsol
data_Al2BiB
_symmetry_space_group_name_H-M 'I -4 2 d'
_symmetry_Int_Tables_number 122
_symmetry_space_group_name_Hall 'I -4 2bw'
_cell_length_a 5.805
_cell_length_b 5.805
_cell_length_c 10.131
_cell_angle_alpha 90.00
_cell_angle_beta 90.00
_cell_angle_gamma 90.00
loop_
_atom_site_label
_atom_site_fract_x
_atom_site_fract_y
_atom_site_fract_z
Al1 0.128 0.750 0.125
Bi1 0.000 0.000 0.500
B1 0.000 0.000 0.000
# - Calculated formation energy: 0.453 eV per atom
# - Crystal system: tetragonal

4.
# Al4TeMo, relaxed, DFT GGA-PBEsol
data_Al4TeMo
_symmetry_space_group_name_H-M 'F -4 3 m'
_symmetry_Int_Tables_number 216
_symmetry_space_group_name_Hall 'F -4 2 3'
_cell_length_a 7.396
_cell_length_b 7.396
_cell_length_c 7.396
_cell_angle_alpha 90.00
_cell_angle_beta 90.00
_cell_angle_gamma 90.00
loop_
_atom_site_label
_atom_site_fract_x
_atom_site_fract_y
_atom_site_fract_z
Al1 0.124 0.124 0.376
Te1 0.000 0.000 0.000
Mo1 0.250 0.250 0.750
# - E_form (uncorrected): 210 meV per atom
# - Crystal system: cubic

5.
# ZnSbIO2, relaxed, DFT GGA-PBEsol
data_ZnSbIO2
_symmetry_space_group_name_H-M 'P 4/m m m'
_symmetry_Int_Tables_number 123
_symmetry_space_group_name_Hall '-P 4 2'
_cell_length_a 4.030
_cell_length_b 4.030
_cell_length_c 6.397
_cell_angle_alpha 90.00
_cell_angle_beta 90.00
_cell_angle_gamma 90.00
loop_
_atom_site_label
_atom_site_fract_x
_atom_site_fract_y
_atom_site_fract_z
Zn1 0.000 0.000 0.000
Sb1 0.500 0.500 0.500
I1 0.500 0.500 0.000
O1 0.000 0.500 0.500
# - E_form (uncorrected): -392 meV per atom
# - Crystal system: tetragonal

6.
# Li5Ti2V3O10, relaxed, DFT GGA-PBEsol
data_Li5Ti2V3O10
_symmetry_space_group_name_H-M 'P -1'
_symmetry_Int_Tables_number 2
_symmetry_space_group_name_Hall '-P 1'
_cell_length_a 4.991
_cell_length_b 5.009
_cell_length_c 7.639
_cell_angle_alpha 71.42
_cell_angle_beta 71.12
_cell_angle_gamma 80.09
loop_
_atom_site_label
_atom_site_fract_x
_atom_site_fract_y
_atom_site_fract_z
Li1 0.000 0.000 0.000
Li2 0.100 0.519 0.277
Li3 0.279 0.501 0.912
Ti1 0.390 0.001 0.201
V1 0.181 0.005 0.596
V2 0.500 0.500 0.500
O1 0.054 0.241 0.161
O2 0.149 0.733 0.452
O3 0.255 0.237 0.743
O4 0.367 0.770 0.047
O5 0.463 0.239 0.352
# - E_form (uncorrected): -2449 meV per atom
# - Crystal system: triclinic

7.
# TlIr2Pt, relaxed, DFT GGA-PBEsol
data_TlIr2Pt
_symmetry_space_group_name_H-M 'P 4/m m m'
_symmetry_Int_Tables_number 123
_symmetry_space_group_name_Hall '-P 4 2'
_cell_length_a 2.902
_cell_length_b 2.902
_cell_length_c 7.653
_cell_angle_alpha 90.00
_cell_angle_beta 90.00
_cell_angle_gamma 90.00
loop_
_atom_site_label
_atom_site_fract_x
_atom_site_fract_y
_atom_site_fract_z
Tl1 0.000 0.000 0.000
Ir1 0.500 0.500 0.273
Pt1 0.000 0.000 0.500
# - ΔE to the lowest computed polymorph: 0.0345 eV per atom
# - Calculated formation energy: 0.444 eV per atom
# - Crystal system: tetragonal

8.
# BeAgSb2, relaxed, DFT GGA-PBEsol
data_BeAgSb2
_symmetry_space_group_name_H-M 'C 1 m 1'
_symmetry_Int_Tables_number 8
_symmetry_space_group_name_Hall 'C -2y'
_cell_length_a 7.765
_cell_length_b 3.797
_cell_length_c 5.976
_cell_angle_alpha 90.00
_cell_angle_beta 109.29
_cell_angle_gamma 90.00
loop_
_atom_site_label
_atom_site_fract_x
_atom_site_fract_y
_atom_site_fract_z
Be1 0.000 0.000 0.000
Ag1 0.268 0.000 0.873
Sb1 0.002 0.500 0.627
Sb2 0.267 0.500 0.229
# - E_form (uncorrected): 223 meV per atom
# - Crystal system: monoclinic